No. 1
# FeRe6Os | OQMD | GGA-PBE | relaxed
data_FeRe6Os
_chemical_formula_sum 'Fe1 Re6 Os1'
_cell_length_a 5.4849
_cell_length_b 5.4849
_cell_length_c 4.3751
_cell_angle_alpha 90.00
_cell_angle_beta 90.00
_cell_angle_gamma 120.00
_symmetry_space_group_name_H-M 'P -6 m 2'
_symmetry_Int_Tables_number 187
_symmetry_space_group_name_Hall 'P -6 2'
loop_
_atom_site_label
_atom_site_fract_x
_atom_site_fract_y
_atom_site_fract_z
Fe1 0.0000 0.0000 0.0000
Re1 0.0052 0.5026 0.0000
Re2 0.1644 0.3287 0.5000
Os1 0.6667 0.3333 0.5000
# - Crystal system: hexagonal
# - Energy of formation from the pure elements: -16 meV/atom

No. 2
# BaNaHg6 | OQMD | GGA-PBE | relaxed
data_BaNaHg6
_chemical_formula_sum 'Ba1 Na1 Hg6'
_cell_length_a 7.0689
_cell_length_b 7.0689
_cell_length_c 5.4014
_cell_angle_alpha 90.00
_cell_angle_beta 90.00
_cell_angle_gamma 120.00
_symmetry_space_group_name_H-M 'P -6 m 2'
_symmetry_Int_Tables_number 187
_symmetry_space_group_name_Hall 'P -6 2'
loop_
_atom_site_label
_atom_site_fract_x
_atom_site_fract_y
_atom_site_fract_z
Ba1 0.0000 0.0000 0.0000
Na1 0.3333 0.6667 0.5000
Hg1 0.0012 0.5006 0.0000
Hg2 0.3613 0.1807 0.5000
# - Crystal system: hexagonal
# - Electronic total energy: -0.0686 Ry/atom

No. 3
# FeCuBW | OQMD | GGA-PBE | relaxed
data_FeCuBW
_chemical_formula_sum 'Fe4 Cu4 B4 W4'
_cell_length_a 5.606
_cell_length_b 5.606
_cell_length_c 5.606
_cell_angle_alpha 90.00
_cell_angle_beta 90.00
_cell_angle_gamma 90.00
_symmetry_space_group_name_H-M 'F -4 3 m'
_symmetry_Int_Tables_number 216
_symmetry_space_group_name_Hall 'F -4 2 3'
loop_
_atom_site_label
_atom_site_fract_x
_atom_site_fract_y
_atom_site_fract_z
Fe1 0.000 0.000 0.000
Cu1 0.250 0.250 0.250
B1 0.250 0.250 0.750
W1 0.000 0.000 0.500
# - Crystal system: cubic
# - Energy relative to the lowest polymorph listed for this composition: 42 meV per atom

No. 4
# Li2SmCuAs2 | OQMD | GGA-PBE | relaxed
data_Li2SmCuAs2
_chemical_formula_sum 'Li2 Sm1 Cu1 As2'
_cell_length_a 4.2190
_cell_length_b 4.2190
_cell_length_c 6.7064
_cell_angle_alpha 90.00
_cell_angle_beta 90.00
_cell_angle_gamma 120.00
_symmetry_space_group_name_H-M 'P -3 m 1'
_symmetry_Int_Tables_number 164
_symmetry_space_group_name_Hall '-P 3 2"'
loop_
_atom_site_label
_atom_site_fract_x
_atom_site_fract_y
_atom_site_fract_z
Li1 0.3333 0.6667 0.3576
Sm1 0.0000 0.0000 0.0000
Cu1 0.0000 0.0000 0.5000
As1 0.3333 0.6667 0.7407
# - Crystal system: trigonal
# - Electronic total energy: -0.3197 Ry/atom

No. 5
# CuSiNiW | OQMD | GGA-PBE | relaxed
data_CuSiNiW
_chemical_formula_sum 'Cu4 Si4 Ni4 W4'
_cell_length_a 5.886
_cell_length_b 5.886
_cell_length_c 5.886
_cell_angle_alpha 90.00
_cell_angle_beta 90.00
_cell_angle_gamma 90.00
_symmetry_space_group_name_H-M 'F -4 3 m'
_symmetry_Int_Tables_number 216
_symmetry_space_group_name_Hall 'F -4 2 3'
loop_
_atom_site_label
_atom_site_fract_x
_atom_site_fract_y
_atom_site_fract_z
Cu1 0.000 0.000 0.000
Si1 0.250 0.250 0.750
Ni1 0.000 0.000 0.500
W1 0.250 0.250 0.250
# - Crystal system: cubic
# - Energy relative to the lowest polymorph listed for this composition: 203 meV per atom

No. 6
# CsZrO3 | OQMD | GGA-PBE | relaxed
data_CsZrO3
_chemical_formula_sum 'Cs1 Zr1 O3'
_cell_length_a 4.281
_cell_length_b 4.281
_cell_length_c 4.312
_cell_angle_alpha 90.00
_cell_angle_beta 90.00
_cell_angle_gamma 90.00
_symmetry_space_group_name_H-M 'P 4 m m'
_symmetry_Int_Tables_number 99
loop_
_symmetry_equiv_pos_as_xyz
'x,y,z'
'-y,x,z'
'-x,-y,z'
'y,-x,z'
'-x,y,z'
'y,x,z'
'x,-y,z'
'-y,-x,z'
loop_
_atom_site_label
_atom_site_fract_x
_atom_site_fract_y
_atom_site_fract_z
Cs1 0.000 0.000 0.000
Zr1 0.500 0.500 0.501
O1 0.000 0.500 0.504
O2 0.500 0.500 0.006
# - Crystal system: tetragonal
# - Electronic total energy: -0.5214 Ry/atom

Number 6 is which compound?
CsZrO3